Entry 1:
The following is a DFT calculation (PBE-GGA) of crystalline Ta2VFeH at its relaxed geometry.

## Properties
Space-group type = P4/mmm
Relative energy among the computed polymorphs = 4.15 kJ per mole of atoms

abc: 4.343 4.343 3.304
angles: 90.00 90.00 90.00
Element x y z (fractional)
Ta: 0.000 0.500 0.000
Ta: 0.500 0.000 0.000
V: 0.000 0.000 0.500
Fe: 0.500 0.500 0.500
H: 0.000 0.000 0.000



Entry 2:
The following is a DFT calculation (PBE-GGA) of crystalline NpP2RuRh at its relaxed geometry.

## Properties
Space-group type = I-4m2
E_form = -0.760 eV/atom

abc: 5.722 5.722 5.722
angles: 139.52 139.52 58.59
Element x y z (fractional)
Np: 0.000 0.000 0.000
P: 0.384 0.384 0.000
P: 0.616 0.616 0.000
Ru: 0.250 0.750 0.500
Rh: 0.750 0.250 0.500



Entry 3:
The following is a DFT calculation (PBE-GGA) of crystalline Pm2I2Cl at its relaxed geometry.

## Properties
Space-group type = C2/m
Relative energy among the computed polymorphs = 0.75 kJ per mole of atoms
Uncorrected formation energy = -1299 meV/atom

abc: 11.731 11.731 7.858
angles: 94.10 94.10 20.94
Element x y z (fractional)
Pm: 0.173 0.173 0.343
Pm: 0.314 0.314 0.083
Pm: 0.686 0.686 0.917
Pm: 0.827 0.827 0.657
I: 0.096 0.096 0.723
I: 0.416 0.416 0.811
I: 0.584 0.584 0.189
I: 0.904 0.904 0.277
Cl: 0.294 0.294 0.431
Cl: 0.706 0.706 0.569



What did the first record say?
The following is a DFT calculation (PBE-GGA) of crystalline Ta2VFeH at its relaxed geometry.

## Properties
Space-group type = P4/mmm
Relative energy among the computed polymorphs = 4.15 kJ per mole of atoms

abc: 4.343 4.343 3.304
angles: 90.00 90.00 90.00
Element x y z (fractional)
Ta: 0.000 0.500 0.000
Ta: 0.500 0.000 0.000
V: 0.000 0.000 0.500
Fe: 0.500 0.500 0.500
H: 0.000 0.000 0.000